NbSbI2N | PBEsol | optimized geometry

Geometry as POSCAR:
```
NbSbI2N
1.0
5.360 0.000 0.000
0.000 5.504 0.000
0.000 0.000 5.504
I Nb Sb N
2 1 1 1
Direct
0.000 0.500 0.000
0.000 0.000 0.500
0.000 0.000 0.000
0.500 0.000 0.000
0.500 0.500 0.500
```

Calculated values
The total magnetic moment comes out at 2.91 Bohr magnetons per cell. For the energy relative to the elements, uncorrected, the calculation gives 115 kJ/mol of atoms. The density of states at the Fermi level is 0.714 states/eV per atom.